(1)
Crystalline La5PmNd2Tl at its relaxed geometry, computed with PBE.

Summary:
total DFT energy (no corrections)	-4.597	eV/atom

a = 5.6963 Å, b = 20.2979 Å, c = 11.1520 Å
α = 90.00°, β = 90.00°, γ = 90.00°
Last column: nearest neighbours and their distance in Å.
Space group Cmc2_1 (No. 36)
One atom of each set of equivalent atoms:
La: 0.0000 0.0003 0.0000  2 Tl 3.35-3.36, 2 La 3.72, 4 Nd 3.74-3.75
La: 0.0000 0.1216 0.2506  4 Nd 3.64-3.65, 6 La 3.72-3.91, 1 Pm 3.78
La: 0.0000 0.2104 0.9507  1 Tl 3.29, 2 La 3.45, 3 Nd 3.49-3.59, 2 Pm 3.63
La: 0.0000 0.2115 0.5515  1 Tl 3.28, 2 La 3.45, 3 Nd 3.48-3.59, 2 Pm 3.64
La: 0.0000 0.4900 0.2507  2 Tl 3.30, 2 Nd 3.43-3.44, 1 Pm 3.69
Pm: 0.0000 0.3080 0.2512  2 Tl 3.50, 8 La 3.63-3.89, 2 Nd 3.63-3.64
Nd: 0.0000 0.3825 0.9545  8 La 3.44-3.75, 1 Pm 3.64
Nd: 0.0000 0.3831 0.5471  8 La 3.43-3.74, 1 Pm 3.63
Tl: 0.0000 0.0920 0.7493  6 La 3.28-3.36, 2 Pm 3.50



(2)
Crystalline KGa2Ag at its relaxed geometry, computed with PBE.

Summary:
total DFT energy (no corrections)	-2.425	eV/atom

a = 5.0489 Å, b = 5.0489 Å, c = 18.7173 Å
α = 90.00°, β = 90.00°, γ = 90.00°
Last column: nearest neighbours and their distance in Å.
Space group I-42d (No. 122)
One atom of each set of equivalent atoms:
K: 0.0000 0.0000 0.0000  8 Ga 3.48-3.86, 4 Ag 3.57
Ga: 0.0551 0.2500 0.6250  2 Ga 2.58, 2 Ag 2.67
Ag: 0.0000 0.0000 0.5000  4 Ga 2.67



(3)
Crystalline SrAl2H at its relaxed geometry, computed with PBE.

Summary:
distance to the lowest polymorph of the same formula	745	meV/atom

a = 7.1488 Å, b = 7.1488 Å, c = 7.1488 Å
α = 90.00°, β = 90.00°, γ = 90.00°
Last column: nearest neighbours and their distance in Å.
Space group Fm-3m (No. 225)
One atom of each set of equivalent atoms:
Sr: 0.0000 0.0000 0.0000  8 Al 3.10
Al: 0.2500 0.2500 0.2500  4 H 3.10, 4 Sr 3.10
H: 0.0000 0.0000 0.5000  8 Al 3.10



(4)
Crystalline AcTb2Pr5Tm at its relaxed geometry, computed with PBE.

Summary:
total DFT energy (no corrections)	-4.497	eV/atom

a = 5.6073 Å, b = 24.6677 Å, c = 9.5430 Å
α = 90.00°, β = 90.00°, γ = 90.00°
Last column: nearest neighbours and their distance in Å.
Space group Cmc2_1 (No. 36)
One atom of each set of equivalent atoms:
Ac: 0.0000 0.1022 0.0000  5 Pr 3.49-3.77
Tb: 0.0000 0.3258 0.2516  6 Pr 3.36-3.70, 1 Tm 3.73
Tb: 0.0000 0.3878 0.8537  9 Pr 3.45-3.81, 1 Tm 3.86
Pr: 0.0000 0.0242 0.3274  3 Pr 3.35-3.59, 2 Ac 3.53-3.67, 2 Tb 3.56
Pr: 0.0000 0.1074 0.6048  4 Pr 3.35-3.69, 4 Tb 3.54-3.69
Pr: 0.0000 0.1905 0.2944  3 Tb 3.36-3.45, 3 Tm 3.49-3.51, 4 Pr 3.53-3.65, 1 Ac 3.56
Pr: 0.0000 0.2416 0.9350  3 Tm 3.17-3.25, 1 Ac 3.49, 2 Pr 3.53
Pr: 0.0000 0.4896 0.1102  2 Tb 3.51-3.81, 6 Pr 3.59-3.91
Tm: 0.0000 0.2633 0.6078  6 Pr 3.17-3.51



(5)
Crystalline Li6Mg12In at its relaxed geometry, computed with PBE.

Summary:
distance to the lowest polymorph of the same formula	0	meV/atom

a = 10.4709 Å, b = 10.4709 Å, c = 13.0176 Å
α = 90.00°, β = 90.00°, γ = 120.00°
Last column: nearest neighbours and their distance in Å.
Space group R-3 (No. 148, hexagonal axes)
One atom of each set of equivalent atoms:
Li: 0.0309 0.5930 0.2011  1 In 2.90, 8 Mg 2.98-3.22, 2 Li 3.00
Mg: 0.0281 0.8402 0.3130  5 Li 2.98-3.34, 5 Mg 3.02-3.22, 1 In 3.05
Mg: 0.0623 0.2143 0.9126  4 Li 3.01-3.19, 5 Mg 3.03-3.22
In: 0.0000 0.0000 0.5000  6 Li 2.90, 6 Mg 3.05



(6)
Crystalline SrBe2Mo at its relaxed geometry, computed with PBE.

Summary:
distance to the lowest polymorph of the same formula	587	meV/atom

a = 6.4841 Å, b = 6.4841 Å, c = 6.4841 Å
α = 90.00°, β = 90.00°, γ = 90.00°
Last column: nearest neighbours and their distance in Å.
Space group Fm-3m (No. 225)
One atom of each set of equivalent atoms:
Sr: 0.0000 0.0000 0.0000  8 Be 2.81
Be: 0.2500 0.2500 0.2500  4 Mo 2.81, 4 Sr 2.81
Mo: 0.0000 0.0000 0.5000  8 Be 2.81



(7)
Crystalline Pa2Be3ZnGa4 at its relaxed geometry, computed with PBE.

Summary:
total DFT energy (no corrections)	-4.569	eV/atom

a = 4.0734 Å, b = 4.0734 Å, c = 9.6967 Å
α = 90.00°, β = 90.00°, γ = 90.00°
Last column: nearest neighbours and their distance in Å.
Space group P-4m2 (No. 115)
One atom of each set of equivalent atoms:
Pa: 0.0000 0.5000 0.2459  8 Ga 3.08-3.14, 6 Be 3.10-3.20, 2 Zn 3.20
Be: 0.0000 0.5000 0.8729  5 Ga 2.24-2.38
Be: 0.5000 0.5000 0.5000  4 Ga 2.46
Zn: 0.0000 0.0000 0.5000  4 Ga 2.46
Ga: 0.0000 0.0000 0.0000  4 Be 2.38
Ga: 0.0000 0.5000 0.6414  3 Be 2.24-2.46, 2 Zn 2.46
Ga: 0.5000 0.5000 0.0000  4 Be 2.38



(8)
Crystalline FeIrAu2 at its relaxed geometry, computed with PBE.

Summary:
distance to the lowest polymorph of the same formula	169	meV/atom

a = 3.9252 Å, b = 3.9252 Å, c = 8.2474 Å
α = 90.00°, β = 90.00°, γ = 90.00°
Last column: nearest neighbours and their distance in Å.
Space group I4/mmm (No. 139)
One atom of each set of equivalent atoms:
Fe: 0.0000 0.0000 0.0000  4 Ir 2.78, 8 Au 2.85
Ir: 0.0000 0.0000 0.5000  4 Fe 2.78, 8 Au 2.85
Au: 0.0000 0.5000 0.2500  4 Au 2.78, 4 Fe 2.85, 4 Ir 2.85



(9)
Crystalline Nd14Au51 at its relaxed geometry, computed with PBE.

Summary:
total DFT energy (no corrections)	-4.230	eV/atom

a = 13.0204 Å, b = 13.0204 Å, c = 9.3827 Å
α = 90.00°, β = 90.00°, γ = 120.00°
Last column: nearest neighbours and their distance in Å.
Space group P-6 (No. 174)
One atom of each set of equivalent atoms:
Nd: 0.0000 0.0000 0.2012  15 Au 3.16-3.39
Nd: 0.1130 0.3839 0.5000  13 Au 3.12-3.36
Nd: 0.1440 0.6771 0.0000  14 Au 3.12-3.34
Nd: 0.4005 0.2856 0.5000  12 Au 3.02-3.30
Nd: 0.4629 0.1428 0.0000  14 Au 3.14-3.40
Au: 0.0579 0.2344 0.0000  8 Au 2.78-2.96
Au: 0.0761 0.8041 0.2648  8 Au 2.83-3.15, 1 Nd 3.12
Au: 0.1014 0.4400 0.1629  7 Au 2.83-3.15, 2 Nd 3.12-3.15
Au: 0.1162 0.6182 0.3490  7 Au 2.83-3.10
Au: 0.1372 0.1113 0.5000  6 Au 2.85-2.91, 1 Nd 3.02
Au: 0.2399 0.1803 0.0000  8 Au 2.78-3.00
Au: 0.2651 0.0732 0.2711  7 Au 2.81-3.14
Au: 0.3333 0.6667 0.1945  7 Au 2.87-3.00, 3 Nd 3.12
Au: 0.3333 0.6667 0.5000  8 Au 2.87-2.94
Au: 0.4451 0.3441 0.1620  6 Au 2.84-3.07, 2 Nd 3.14-3.15
Au: 0.4918 0.1166 0.3478  7 Au 2.81-3.10
Au: 0.6667 0.3333 0.1931  7 Au 2.88-2.97, 3 Nd 3.15
Au: 0.6667 0.3333 0.5000  8 Au 2.88-2.96, 3 Nd 3.20



(10)
Crystalline CaTb2Zn2Ga2 at its relaxed geometry, computed with PBE.

Summary:
total DFT energy (no corrections)	-3.224	eV/atom

a = 4.4974 Å, b = 4.4974 Å, c = 27.9574 Å
α = 90.00°, β = 90.00°, γ = 120.00°
Last column: nearest neighbours and their distance in Å.
Space group R-3m (No. 166, hexagonal axes)
One atom of each set of equivalent atoms:
Ca: 0.0000 0.0000 0.0000  6 Zn 3.29, 6 Ga 3.37, 2 Tb 3.56
Tb: 0.0000 0.0000 0.1275  3 Ga 2.96, 3 Zn 3.02
Zn: 0.0000 0.0000 0.4057  3 Ga 2.60
Ga: 0.0000 0.0000 0.2565  3 Zn 2.60



(11)
Crystalline SiSbC at its relaxed geometry, computed with PBE.

Summary:
ΔE_f (raw)	0.318	eV/atom
distance to the lowest polymorph of the same formula	257	meV/atom

a = 3.1063 Å, b = 4.0417 Å, c = 9.2260 Å
α = 90.36°, β = 93.84°, γ = 108.13°
Last column: nearest neighbours and their distance in Å.
Space group P1 (No. 1)
One atom of each set of equivalent atoms:
Si: 0.0000 0.0000 0.0000  3 C 1.88-1.94
Si: 0.2397 0.5791 0.7565  2 C 1.91-1.92
Sb: 0.1782 0.0584 0.5702  2 Si 2.64-2.66
Sb: 0.8088 0.5696 0.2162  1 C 2.32
C: 0.6183 0.2810 0.9916  1 C 1.58
C: 0.7657 0.5809 0.8781  1 C 1.58



(12)
Crystalline Dy6Y19Ho4 at its relaxed geometry, computed with PBE.

Summary:
total DFT energy (no corrections)	-5.437	eV/atom

a = 12.4596 Å, b = 12.4596 Å, c = 12.4596 Å
α = 90.00°, β = 90.00°, γ = 90.00°
Last column: nearest neighbours and their distance in Å.
Space group I23 (No. 197)
One atom of each set of equivalent atoms:
Dy: 0.0000 0.1245 0.5000  1 Dy 3.10, 4 Y 3.17-3.37
Y: 0.0000 0.0000 0.0000  6 Y 3.24
Y: 0.0000 0.0000 0.2601  5 Y 3.24-3.57, 2 Ho 3.31, 2 Dy 3.37
Y: 0.0622 0.2794 0.7359  1 Dy 3.17, 2 Ho 3.34-3.42, 1 Y 3.39
Ho: 0.1789 0.1789 0.1789  9 Y 3.31-3.42